1.
VASP calculation (PBE) on a geometry-optimized SmYHo6 structure.

Values from the calculation:
DFT total energy (eV/atom): -4.810
Magnetization (μB per formula unit): 0.0
ΔE_f (meV per atom): 22
Volume (Å³ per atom): 31.44

POSCAR file:
```
SmYHo6
1.0
6.1299 0.0000 0.0000
1.0328 6.0553 0.0000
0.0127 2.0918 6.7765
Sm Y Ho
1 1 6
Direct
0.0000 0.0000 0.0000
0.0000 0.0000 0.5000
0.2510 0.4989 0.3754
0.2505 0.4987 0.8752
0.5005 0.9997 0.2499
0.4995 0.0003 0.7501
0.7495 0.5013 0.1248
0.7490 0.5011 0.6246
```


2.
VASP calculation (PBE) on a geometry-optimized SmYHo2 structure.

Values from the calculation:
DFT total energy (eV/atom): -4.949
Magnetization (μB per formula unit): 0.0
ΔE_f (meV per atom): 136
Volume (Å³ per atom): 32.47

POSCAR file:
```
SmYHo2
1.0
8.0392 0.0000 0.0000
0.0000 8.0392 0.0000
0.0000 0.0000 8.0392
Sm Y Ho
4 4 8
Direct
0.0000 0.0000 0.0000
0.0000 0.5000 0.5000
0.5000 0.0000 0.5000
0.5000 0.5000 0.0000
0.0000 0.0000 0.5000
0.0000 0.5000 0.0000
0.5000 0.0000 0.0000
0.5000 0.5000 0.5000
0.2500 0.2500 0.2500
0.2500 0.2500 0.7500
0.2500 0.7500 0.2500
0.2500 0.7500 0.7500
0.7500 0.2500 0.2500
0.7500 0.2500 0.7500
0.7500 0.7500 0.2500
0.7500 0.7500 0.7500
```


3.
VASP calculation (PBE) on a geometry-optimized Sm5Y5Ho2 structure.

Values from the calculation:
DFT total energy (eV/atom): -5.405
Magnetization (μB per formula unit): 0.0
ΔE_f (meV per atom): 18
Volume (Å³ per atom): 32.62

POSCAR file:
```
Sm5Y5Ho2
1.0
7.6018 -2.5388 0.0000
7.6018 2.5388 0.0000
-5.0730 0.0000 10.1414
Sm Y Ho
5 5 2
Direct
0.0000 0.0000 0.0000
0.0825 0.0825 0.7498
0.1665 0.1665 0.4994
0.8335 0.8335 0.5006
0.9175 0.9175 0.2502
0.2489 0.2489 0.2490
0.3335 0.3335 0.9997
0.5000 0.5000 0.5000
0.6665 0.6665 0.0003
0.7511 0.7511 0.7510
0.4166 0.4166 0.7499
0.5834 0.5834 0.2501
```


4.
VASP calculation (PBE) on a geometry-optimized SmY6Ho3 structure.

Values from the calculation:
DFT total energy (eV/atom): -5.579
Magnetization (μB per formula unit): 0.0
ΔE_f (meV per atom): 144
Volume (Å³ per atom): 32.56

POSCAR file:
```
SmY6Ho3
1.0
5.4997 -9.4699 0.0000
5.4997 9.4699 0.0000
0.0000 0.0000 6.2522
Sm Y Ho
2 12 6
Direct
0.2058 0.7942 0.5000
0.7942 0.2058 0.0000
0.0439 0.4614 0.2936
0.0473 0.9527 0.7500
0.2813 0.7187 0.0033
0.2905 0.3808 0.1196
0.3808 0.2905 0.6196
0.4614 0.0439 0.7936
0.5386 0.9561 0.2936
0.6192 0.7095 0.1196
0.7095 0.6192 0.6196
0.7187 0.2813 0.5033
0.9527 0.0473 0.2500
0.9561 0.5386 0.7936
0.0632 0.2824 0.7019
0.2824 0.0632 0.2019
0.3892 0.6108 0.5820
0.6108 0.3892 0.0820
0.7176 0.9368 0.7019
0.9368 0.7176 0.2019
```


Number 1: E above lowest polymorph 0.000 eV/atom. Number 2: E above lowest polymorph 0.124 eV/atom. Number 3: E above lowest polymorph 0.000 eV/atom. Number 4: E above lowest polymorph 0.028 eV/atom.